Entry 1:
First-principles (PBE) data for a relaxed UPa3C4 crystal, as listed in the Alexandria database.

Calculated values
* formation enthalpy at 0 K: -2.9 eV per formula unit
* ΔE to the lowest computed polymorph: 0.0084 eV per atom
* magnetic moment: 0.1115 μB/atom
* uncorrected energy: -9.95 eV/atom

Unit cell a=5.0503 b=5.0503 c=5.0503 alpha=90.00 beta=90.00 gamma=90.00
Closest atoms and distances in Å follow each position.
Positions (direct):
1 U 0.0000 0.0000 0.0000  6 C 2.53
2 Pa 0.0000 0.5000 0.5000  6 C 2.53
3 Pa 0.5000 0.0000 0.5000  6 C 2.53
4 Pa 0.5000 0.5000 0.0000  6 C 2.53
5 C 0.0000 0.0000 0.5000  4 Pa 2.53, 2 U 2.53
6 C 0.0000 0.5000 0.0000  4 Pa 2.53, 2 U 2.53
7 C 0.5000 0.0000 0.0000  4 Pa 2.53, 2 U 2.53
8 C 0.5000 0.5000 0.5000  6 Pa 2.53



Entry 2:
First-principles (PBE) data for a relaxed UPa4C5 crystal, as listed in the Alexandria database.

Calculated values
* formation enthalpy at 0 K: -3.8 eV per formula unit
* magnetic moment: 0.0001 μB/atom
* uncorrected energy: -9.92 eV/atom

Unit cell a=12.8588 b=12.8588 c=12.8588 alpha=164.00 beta=164.00 gamma=22.70
Closest atoms and distances in Å follow each position.
Positions (direct):
1 U 0.0000 0.0000 0.0000  6 C 2.43-2.53
2 Pa 0.1992 0.1992 0.0000  6 C 2.51-2.59
3 Pa 0.4012 0.4012 0.0000  6 C 2.49-2.58
4 Pa 0.5988 0.5988 0.0000  6 C 2.49-2.58
5 Pa 0.8008 0.8008 0.0000  6 C 2.51-2.59
6 C 0.0964 0.0964 0.0000  1 U 2.43, 5 Pa 2.53-2.59
7 C 0.2989 0.2989 0.0000  6 Pa 2.51-2.58
8 C 0.5000 0.5000 0.0000  2 Pa 2.49, 4 U 2.53
9 C 0.7011 0.7011 0.0000  6 Pa 2.51-2.58
10 C 0.9036 0.9036 0.0000  1 U 2.43, 5 Pa 2.53-2.59



Entry 3:
First-principles (PBE) data for a relaxed UPaC2 crystal, as listed in the Alexandria database.

Calculated values
* formation enthalpy at 0 K: -1.1 eV per formula unit
* ΔE to the lowest computed polymorph: 0.0347 eV per atom
* magnetic moment: 0.0001 μB/atom
* uncorrected energy: -10.07 eV/atom

Unit cell a=3.3976 b=6.1325 c=5.8715 alpha=90.00 beta=90.00 gamma=90.00
Closest atoms and distances in Å follow each position.
Positions (direct):
1 U 0.2500 0.2500 0.0826  6 C 2.42-2.46
2 U 0.7500 0.7500 0.9174  6 C 2.42-2.46
3 Pa 0.2500 0.7500 0.4160  6 C 2.52-2.55
4 Pa 0.7500 0.2500 0.5840  6 C 2.52-2.55
5 C 0.2500 0.9997 0.7633  3 U 2.42-2.46, 3 Pa 2.52-2.55
6 C 0.2500 0.5003 0.7633  3 U 2.42-2.46, 3 Pa 2.52-2.55
7 C 0.7500 0.0003 0.2367  3 U 2.42-2.46, 3 Pa 2.52-2.55
8 C 0.7500 0.4997 0.2367  3 U 2.42-2.46, 3 Pa 2.52-2.55



Entry 4:
First-principles (PBE) data for a relaxed U2PaC2 crystal, as listed in the Alexandria database.

Calculated values
* formation enthalpy at 0 K: 0.1 eV per formula unit
* magnetic moment: 0.0000 μB/atom
* uncorrected energy: -10.08 eV/atom

Unit cell a=5.5271 b=5.5271 c=9.1736 alpha=90.00 beta=90.00 gamma=144.20
Closest atoms and distances in Å follow each position.
Positions (direct):
1 U 0.1641 0.8359 0.5395  4 C 2.45-2.74, 2 U 2.58
2 U 0.1641 0.8359 0.9605  4 C 2.45-2.74, 2 U 2.58
3 U 0.8359 0.1641 0.0395  4 C 2.45-2.74, 2 U 2.58
4 U 0.8359 0.1641 0.4605  4 C 2.45-2.74, 2 U 2.58
5 Pa 0.4373 0.5627 0.7500  4 C 2.39-2.57
6 Pa 0.5627 0.4373 0.2500  4 C 2.39-2.57
7 C 0.2466 0.7534 0.2500  2 Pa 2.57, 6 U 2.74-2.79
8 C 0.5000 0.5000 0.0000  2 Pa 2.39, 4 U 2.45
9 C 0.5000 0.5000 0.5000  2 Pa 2.39, 4 U 2.45
10 C 0.7534 0.2466 0.7500  2 Pa 2.57, 6 U 2.74-2.79



Entry 5:
First-principles (PBE) data for a relaxed U2PaC crystal, as listed in the Alexandria database.

Calculated values
* formation enthalpy at 0 K: 0.9 eV per formula unit
* ΔE to the lowest computed polymorph: 0.0000 eV per atom
* magnetic moment: 0.0003 μB/atom
* uncorrected energy: -10.10 eV/atom

Unit cell a=2.9262 b=2.9262 c=8.3382 alpha=90.00 beta=90.00 gamma=90.00
Closest atoms and distances in Å follow each position.
Positions (direct):
1 U 0.0000 0.0000 0.1718  4 C 2.52
2 U 0.0000 0.0000 0.8282  4 C 2.52
3 Pa 0.5000 0.5000 0.5000  4 Pa 2.93
4 C 0.5000 0.5000 0.0000  8 U 2.52



Entry 6:
First-principles (PBE) data for a relaxed U5PaC6 crystal, as listed in the Alexandria database.

Calculated values
* formation enthalpy at 0 K: -2.2 eV per formula unit
* magnetic moment: 0.0000 μB/atom
* uncorrected energy: -10.29 eV/atom

Unit cell a=6.0575 b=6.0575 c=6.0781 alpha=99.58 beta=99.58 gamma=119.88
Closest atoms and distances in Å follow each position.
Positions (direct):
1 U 0.0000 0.0000 0.0000  6 C 2.42-2.47
2 U 0.1679 0.8321 0.5000  6 C 2.46-2.48
3 U 0.3357 0.6643 0.0000  6 C 2.42-2.49
4 U 0.6643 0.3357 0.0000  6 C 2.42-2.49
5 U 0.8321 0.1679 0.5000  6 C 2.46-2.48
6 Pa 0.5000 0.5000 0.5000  6 C 2.54-2.55
7 C 0.0712 0.4130 0.2414  5 U 2.42-2.48, 1 Pa 2.55
8 C 0.2384 0.2384 0.7503  5 U 2.42-2.49, 1 Pa 2.54
9 C 0.4130 0.0712 0.2414  5 U 2.42-2.48, 1 Pa 2.55
10 C 0.5870 0.9288 0.7586  5 U 2.42-2.48, 1 Pa 2.55
11 C 0.7616 0.7616 0.2497  5 U 2.42-2.49, 1 Pa 2.54
12 C 0.9288 0.5870 0.7586  5 U 2.42-2.48, 1 Pa 2.55



Entry 7:
First-principles (PBE) data for a relaxed UPaC2 crystal, as listed in the Alexandria database.

Calculated values
* formation enthalpy at 0 K: -1.2 eV per formula unit
* ΔE to the lowest computed polymorph: 0.0000 eV per atom
* magnetic moment: 0.0000 μB/atom
* uncorrected energy: -10.11 eV/atom

Unit cell a=6.0831 b=6.0831 c=6.0831 alpha=33.96 beta=33.96 gamma=33.96
Closest atoms and distances in Å follow each position.
Positions (direct):
1 U 0.0000 0.0000 0.0000  6 C 2.44
2 Pa 0.5000 0.5000 0.5000  6 C 2.57
3 C 0.2566 0.2566 0.2566  3 U 2.44, 3 Pa 2.57
4 C 0.7434 0.7434 0.7434  3 U 2.44, 3 Pa 2.57



Entry 8:
First-principles (PBE) data for a relaxed U2PaVC4 crystal, as listed in the Alexandria database.

Calculated values
* formation enthalpy at 0 K: -0.9 eV per formula unit
* magnetic moment: 0.0007 μB/atom
* uncorrected energy: -9.87 eV/atom

Unit cell a=6.0561 b=6.0561 c=11.5794 alpha=90.00 beta=90.00 gamma=147.14
Closest atoms and distances in Å follow each position.
Positions (direct):
1 U 0.1312 0.8688 0.5519  6 C 2.32-2.52
2 U 0.1312 0.8688 0.9481  6 C 2.32-2.52
3 U 0.8688 0.1312 0.0519  6 C 2.32-2.52
4 U 0.8688 0.1312 0.4481  6 C 2.32-2.52
5 Pa 0.3900 0.6100 0.7500  6 C 2.50-2.63
6 Pa 0.6100 0.3900 0.2500  6 C 2.50-2.63
7 V 0.3449 0.6551 0.2500  4 C 2.00-2.12
8 V 0.6551 0.3449 0.7500  4 C 2.00-2.12
9 C 0.0472 0.9528 0.7500  2 V 2.12
10 C 0.2272 0.7728 0.1239  1 V 2.00
11 C 0.2272 0.7728 0.3761  1 V 2.00
12 C 0.5000 0.5000 0.0000  4 U 2.37
13 C 0.5000 0.5000 0.5000  4 U 2.37
14 C 0.7728 0.2272 0.6239  1 V 2.00
15 C 0.7728 0.2272 0.8761  1 V 2.00
16 C 0.9528 0.0472 0.2500  2 V 2.12



Entry 9:
First-principles (PBE) data for a relaxed UPa2VC4 crystal, as listed in the Alexandria database.

Calculated values
* formation enthalpy at 0 K: -0.8 eV per formula unit
* magnetic moment: 0.2245 μB/atom
* uncorrected energy: -9.64 eV/atom

Unit cell a=6.0583 b=6.0583 c=12.2484 alpha=90.00 beta=90.00 gamma=147.49
Closest atoms and distances in Å follow each position.
Positions (direct):
1 U 0.1008 0.8992 0.7500  6 C 2.51-2.63
2 U 0.8992 0.1008 0.2500  6 C 2.51-2.63
3 Pa 0.3654 0.6346 0.5471  6 C 2.38-2.64
4 Pa 0.3654 0.6346 0.9529  6 C 2.38-2.64
5 Pa 0.6346 0.3654 0.0471  6 C 2.38-2.64
6 Pa 0.6346 0.3654 0.4529  6 C 2.38-2.64
7 V 0.1665 0.8335 0.2500  4 C 1.92-2.11
8 V 0.8335 0.1665 0.7500  4 C 1.92-2.11
9 C 0.0000 0.0000 0.0000  4 Pa 2.38
10 C 0.0000 0.0000 0.5000  4 Pa 2.38
11 C 0.2772 0.7228 0.1334  1 V 1.92
12 C 0.2772 0.7228 0.3666  1 V 1.92
13 C 0.4416 0.5584 0.7500  2 V 2.11
14 C 0.5584 0.4416 0.2500  2 V 2.11
15 C 0.7228 0.2772 0.6334  1 V 1.92
16 C 0.7228 0.2772 0.8666  1 V 1.92



Entry 10:
First-principles (PBE) data for a relaxed UPa2WC4 crystal, as listed in the Alexandria database.

Calculated values
* formation enthalpy at 0 K: -0.2 eV per formula unit
* magnetic moment: 0.0001 μB/atom
* uncorrected energy: -10.05 eV/atom

Unit cell a=6.2023 b=6.2023 c=12.1288 alpha=90.00 beta=90.00 gamma=148.36
Closest atoms and distances in Å follow each position.
Positions (direct):
1 U 0.1186 0.8814 0.7500  6 C 2.48-2.54
2 U 0.8814 0.1186 0.2500  6 C 2.48-2.54
3 Pa 0.3658 0.6342 0.5450  5 C 2.39-2.62
4 Pa 0.3658 0.6342 0.9550  5 C 2.39-2.62
5 Pa 0.6342 0.3658 0.0450  5 C 2.39-2.62
6 Pa 0.6342 0.3658 0.4550  5 C 2.39-2.62
7 W 0.1448 0.8552 0.2500  4 C 2.11-2.15
8 W 0.8552 0.1448 0.7500  4 C 2.11-2.15
9 C 0.0000 0.0000 0.0000  4 Pa 2.39
10 C 0.0000 0.0000 0.5000  4 Pa 2.39
11 C 0.2760 0.7240 0.1334  1 W 2.11
12 C 0.2760 0.7240 0.3666  1 W 2.11
13 C 0.4662 0.5338 0.7500  2 W 2.15
14 C 0.5338 0.4662 0.2500  2 W 2.15
15 C 0.7240 0.2760 0.6334  1 W 2.11
16 C 0.7240 0.2760 0.8666  1 W 2.11



Entry 11:
First-principles (PBE) data for a relaxed YU2PaC4 crystal, as listed in the Alexandria database.

Calculated values
* formation enthalpy at 0 K: -2.2 eV per formula unit
* magnetic moment: 0.0001 μB/atom
* uncorrected energy: -9.70 eV/atom

Unit cell a=6.0837 b=3.5655 c=6.1745 alpha=90.00 beta=109.88 gamma=90.00
Closest atoms and distances in Å follow each position.
Positions (direct):
1 Y 0.0000 0.0000 0.0000  6 C 2.61-2.62
2 U 0.5000 0.0000 0.5000  6 C 2.39-2.41
3 U 0.5000 0.5000 0.0000  6 C 2.44
4 Pa 0.0000 0.5000 0.5000  6 C 2.57-2.59
5 C 0.2727 0.0000 0.7534  3 U 2.41-2.44, 2 Pa 2.57, 1 Y 2.61
6 C 0.2809 0.5000 0.2661  3 U 2.39-2.44, 1 Pa 2.59, 2 Y 2.62
7 C 0.7191 0.5000 0.7339  3 U 2.39-2.44, 1 Pa 2.59, 2 Y 2.62
8 C 0.7273 0.0000 0.2466  3 U 2.41-2.44, 2 Pa 2.57, 1 Y 2.61



Entry 12:
First-principles (PBE) data for a relaxed YUPa2C4 crystal, as listed in the Alexandria database.

Calculated values
* formation enthalpy at 0 K: -2.6 eV per formula unit
* magnetic moment: 0.0127 μB/atom
* uncorrected energy: -9.54 eV/atom

Unit cell a=6.1626 b=3.5879 c=6.1968 alpha=90.00 beta=109.57 gamma=90.00
Closest atoms and distances in Å follow each position.
Positions (direct):
1 Y 0.0000 0.0000 0.0000  6 C 2.57-2.59
2 U 0.5000 0.5000 0.0000  6 C 2.46-2.47
3 Pa 0.0000 0.5000 0.5000  6 C 2.58-2.60
4 Pa 0.5000 0.0000 0.5000  6 C 2.47-2.48
5 C 0.2650 0.0000 0.7568  2 U 2.47, 3 Pa 2.48-2.58, 1 Y 2.57
6 C 0.2697 0.5000 0.2557  1 U 2.46, 3 Pa 2.47-2.60, 2 Y 2.59
7 C 0.7303 0.5000 0.7443  1 U 2.46, 3 Pa 2.47-2.60, 2 Y 2.59
8 C 0.7350 0.0000 0.2432  2 U 2.47, 3 Pa 2.48-2.58, 1 Y 2.57